Compound: BaBeRe2O8
Source: the Alexandria database
Functional: PBE
Structure: optimized geometry

Summary:
Space-group type ... P-3 (147)
Volume ... 15.83 Å³/atom
E_form (uncorrected) ... -1.8039 eV per atom

Cell and atoms, written as POSCAR:
```
BaBeRe2O8
1.0
5.564 0.000 0.000
-2.782 4.819 0.000
0.000 0.000 7.085
Ba Be Re O
1 1 2 8
Direct
0.000 0.000 0.000
0.000 0.000 0.500
0.333 0.667 0.724
0.667 0.333 0.276
0.147 0.306 0.657
0.158 0.853 0.657
0.306 0.158 0.343
0.333 0.667 0.978
0.667 0.333 0.022
0.694 0.842 0.657
0.842 0.147 0.343
0.853 0.694 0.343
```



Compound: Al8SiNi2
Source: the Alexandria database
Functional: PBE
Structure: optimized geometry

Summary:
Space-group type ... P4/mmm (123)
Volume ... 15.33 Å³/atom
E_form (uncorrected) ... -0.1298 eV per atom

Cell and atoms, written as POSCAR:
```
Al8SiNi2
1.0
3.864 0.000 0.000
0.000 3.864 0.000
0.000 0.000 11.295
Al Si Ni
8 1 2
Direct
0.000 0.000 0.171
0.000 0.000 0.829
0.000 0.500 0.000
0.000 0.500 0.338
0.000 0.500 0.662
0.500 0.000 0.000
0.500 0.000 0.338
0.500 0.000 0.662
0.500 0.500 0.500
0.500 0.500 0.158
0.500 0.500 0.842
```



Compound: Re2PbCl
Source: the Alexandria database
Functional: PBE
Structure: optimized geometry

Summary:
Relative energy among the computed polymorphs ... 0.6158 eV/atom
Space-group type ... C2/m (12)
Volume ... 27.22 Å³/atom
E_form (uncorrected) ... 0.7539 eV per atom

Cell and atoms, written as POSCAR:
```
Re2PbCl
1.0
5.310 -1.691 0.000
5.310 1.691 0.000
-5.211 0.000 6.065
Re Pb Cl
2 1 1
Direct
0.196 0.196 0.369
0.804 0.804 0.631
0.000 0.000 0.500
0.500 0.500 0.000
```



Compound: La3Nd3TmS8
Source: the Alexandria database
Functional: PBE
Structure: optimized geometry

Summary:
Space-group type ... R-3m (166)
Volume ... 25.80 Å³/atom
E_form (uncorrected) ... -2.1071 eV per atom

Cell and atoms, written as POSCAR:
```
La3Nd3TmS8
1.0
4.074 2.352 6.732
-4.074 2.352 6.732
0.000 -4.704 6.732
La Nd Tm S
3 3 1 8
Direct
0.000 0.500 0.500
0.500 0.000 0.500
0.500 0.500 0.000
0.000 0.000 0.500
0.000 0.500 0.000
0.500 0.000 0.000
0.500 0.500 0.500
0.249 0.249 0.249
0.259 0.738 0.738
0.262 0.262 0.741
0.262 0.741 0.262
0.738 0.259 0.738
0.738 0.738 0.259
0.741 0.262 0.262
0.751 0.751 0.751
```



Compound: CsInO2
Source: the Alexandria database
Functional: PBE
Structure: optimized geometry

Summary:
Space-group type ... C2/c (15)
Volume ... 21.90 Å³/atom
E_form (uncorrected) ... -1.4643 eV per atom

Cell and atoms, written as POSCAR:
```
CsInO2
1.0
5.008 -5.008 0.000
5.008 5.008 0.000
-2.425 0.000 13.971
Cs In O
8 8 16
Direct
0.156 0.779 0.617
0.221 0.844 0.883
0.224 0.349 0.902
0.349 0.224 0.402
0.651 0.776 0.598
0.776 0.651 0.098
0.779 0.156 0.117
0.844 0.221 0.383
0.086 0.710 0.338
0.290 0.914 0.162
0.291 0.419 0.164
0.419 0.291 0.664
0.581 0.709 0.336
0.709 0.581 0.836
0.710 0.086 0.838
0.914 0.290 0.662
0.071 0.446 0.251
0.071 0.929 0.250
0.148 0.270 0.584
0.269 0.645 0.078
0.270 0.148 0.084
0.355 0.731 0.422
0.446 0.071 0.751
0.446 0.554 0.750
0.554 0.446 0.250
0.554 0.929 0.249
0.645 0.269 0.578
0.730 0.852 0.916
0.731 0.355 0.922
0.852 0.730 0.416
0.929 0.071 0.750
0.929 0.554 0.749
```



Compound: PuHfTcIr
Source: the Alexandria database
Functional: PBE
Structure: optimized geometry

Summary:
Total energy ... -45.2 eV for the cell shown
Space-group type ... F-43m (216)
Volume ... 18.45 Å³/atom

Cell and atoms, written as POSCAR:
```
PuHfTcIr
1.0
0.000 3.329 3.329
3.329 0.000 3.329
3.329 3.329 0.000
Pu Hf Tc Ir
1 1 1 1
Direct
0.000 0.000 0.000
0.500 0.500 0.500
0.250 0.250 0.250
0.750 0.750 0.750
```



Compound: MnNi2HRu
Source: the Alexandria database
Functional: PBE
Structure: optimized geometry

Summary:
Relative energy among the computed polymorphs ... 0.0000 eV/atom
Space-group type ... P4/mmm (123)
Volume ... 10.20 Å³/atom

Cell and atoms, written as POSCAR:
```
MnNi2HRu
1.0
3.661 0.000 0.000
0.000 3.661 0.000
0.000 0.000 3.807
Mn Ni H Ru
1 2 1 1
Direct
0.000 0.000 0.000
0.000 0.500 0.500
0.500 0.000 0.500
0.500 0.500 0.500
0.500 0.500 0.000
```



Compound: FeTe2IN
Source: the Alexandria database
Functional: PBE
Structure: optimized geometry

Summary:
Relative energy among the computed polymorphs ... 1.1796 eV/atom
Space-group type ... P4/mmm (123)
Volume ... 24.94 Å³/atom
E_form (uncorrected) ... 1.5863 eV per atom

Cell and atoms, written as POSCAR:
```
FeTe2IN
1.0
4.850 0.000 0.000
0.000 4.850 0.000
0.000 0.000 5.301
Fe Te I N
1 2 1 1
Direct
0.000 0.000 0.000
0.000 0.500 0.000
0.500 0.000 0.000
0.000 0.000 0.500
0.500 0.500 0.500
```



Q: Which formula does entry 7 have?
A: MnNi2HRu



Q: Among the records above, which one has the lowest volume?
A: MnNi2HRu



What did the second record say?
Compound: Al8SiNi2
Source: the Alexandria database
Functional: PBE
Structure: optimized geometry

Summary:
Space-group type ... P4/mmm (123)
Volume ... 15.33 Å³/atom
E_form (uncorrected) ... -0.1298 eV per atom

Cell and atoms, written as POSCAR:
```
Al8SiNi2
1.0
3.864 0.000 0.000
0.000 3.864 0.000
0.000 0.000 11.295
Al Si Ni
8 1 2
Direct
0.000 0.000 0.171
0.000 0.000 0.829
0.000 0.500 0.000
0.000 0.500 0.338
0.000 0.500 0.662
0.500 0.000 0.000
0.500 0.000 0.338
0.500 0.000 0.662
0.500 0.500 0.500
0.500 0.500 0.158
0.500 0.500 0.842
```